SrAl2W | GGA-PBE | optimized geometry

a b c (Å): 2.994 2.994 8.965
angles (deg): 90.00 90.00 90.00
Space group P4/mmm (No. 123)
Symmetry-distinct sites (fractional):
1 Sr 0.000 0.000 0.000 (multiplicity 1)
2 Al 0.500 0.500 0.294 (multiplicity 2)
3 W 0.000 0.000 0.500 (multiplicity 1)

Summary:
- Formation energy: 0.214 eV per atom
- Polymorph energy (0 for the lowest one): 65 meV/atom
- Uncorrected energy: -21.27 eV per formula unit
- Spin magnetization: 0.00 Bohr magnetons per cell



W2Au | GGA-PBE | optimized geometry

a b c (Å): 4.257 11.407 4.130
angles (deg): 90.00 90.00 90.00
Space group Cmcm (No. 63)
Symmetry-distinct sites (fractional):
1 W 0.000 0.098 0.250 (multiplicity 4)
2 W 0.000 0.248 0.750 (multiplicity 4)
3 Au 0.000 0.419 0.250 (multiplicity 4)

Summary:
- Formation energy: 0.365 eV per atom
- Polymorph energy (0 for the lowest one): 0 meV/atom
- Uncorrected energy: -28.09 eV per formula unit
- Spin magnetization: 0.00 Bohr magnetons per cell



K2ScTa | GGA-PBE | optimized geometry

a b c (Å): 3.064 6.892 13.259
angles (deg): 90.00 90.00 90.00
Space group Imm2 (No. 44)
Symmetry-distinct sites (fractional):
1 K 0.000 0.000 0.000 (multiplicity 2)
2 K 0.000 0.500 0.218 (multiplicity 2)
3 Sc 0.000 0.500 0.792 (multiplicity 2)
4 Ta 0.000 0.000 0.461 (multiplicity 2)

Summary:
- Formation energy: 1.065 eV per atom
- Polymorph energy (0 for the lowest one): 411 meV/atom
- Uncorrected energy: -16.12 eV per formula unit
- Spin magnetization: 1.98 Bohr magnetons per cell



Li2Cr2N3 | GGA-PBE | optimized geometry

a b c (Å): 10.448 3.247 4.995
angles (deg): 90.00 114.10 90.00
Space group C2/m (No. 12)
Symmetry-distinct sites (fractional):
1 Li 0.074 0.000 0.311 (multiplicity 4)
2 Cr 0.153 0.500 0.921 (multiplicity 4)
3 N 0.000 0.500 0.000 (multiplicity 2)
4 N 0.167 0.000 0.753 (multiplicity 4)

Summary:
- E_form (uncorrected): -0.61 eV/atom
- Uncorrected energy: -52.31 eV per formula unit
- Spin magnetization: 1.51 Bohr magnetons per cell



AsPtCl | GGA-PBE | optimized geometry

a b c (Å): 3.5738 3.5738 6.4981
angles (deg): 90.00 90.00 120.00
Space group P3m1 (No. 156)
Symmetry-distinct sites (fractional):
1 As 0.0000 0.0000 0.0000 (multiplicity 1)
2 Pt 0.3333 0.6667 0.7914 (multiplicity 1)
3 Cl 0.6667 0.3333 0.5437 (multiplicity 1)

Summary:
- E_form (uncorrected): -0.40 eV/atom
- Polymorph energy (0 for the lowest one): 0 meV/atom
- Uncorrected energy: -13.74 eV per formula unit
- Spin magnetization: 0.00 Bohr magnetons per cell



Sm5ErTe8 | GGA-PBE | optimized geometry

a b c (Å): 9.569 9.569 9.273
angles (deg): 90.00 90.00 90.00
Space group I-4 (No. 82)
Symmetry-distinct sites (fractional):
1 Sm 0.000 0.000 0.000 (multiplicity 2)
2 Sm 0.152 0.747 0.376 (multiplicity 8)
3 Er 0.000 0.500 0.750 (multiplicity 2)
4 Te 0.066 0.819 0.696 (multiplicity 8)
5 Te 0.071 0.674 0.054 (multiplicity 8)

Summary:
- E_form (uncorrected): -1.36 eV/atom
- Uncorrected energy: -72.35 eV per formula unit
- Spin magnetization: 0.00 Bohr magnetons per cell



GaReGe | GGA-PBE | optimized geometry

a b c (Å): 4.5466 4.5466 2.6745
angles (deg): 90.00 90.00 120.00
Space group P-6m2 (No. 187)
Symmetry-distinct sites (fractional):
1 Ga 0.0000 0.0000 0.0000 (multiplicity 1)
2 Re 0.6667 0.3333 0.5000 (multiplicity 1)
3 Ge 0.3333 0.6667 0.5000 (multiplicity 1)

Summary:
- Formation energy: 0.359 eV per atom
- Polymorph energy (0 for the lowest one): 207 meV/atom
- Uncorrected energy: -19.02 eV per formula unit
- Spin magnetization: 0.00 Bohr magnetons per cell



ThBAsRh6 | GGA-PBE | optimized geometry

a b c (Å): 6.594 8.233 11.111
angles (deg): 90.00 90.00 90.00
Space group Imma (No. 74)
Symmetry-distinct sites (fractional):
1 Th 0.000 0.250 0.183 (multiplicity 4)
2 B 0.000 0.000 0.500 (multiplicity 4)
3 As 0.250 0.250 0.750 (multiplicity 4)
4 Rh 0.000 0.250 0.468 (multiplicity 4)
5 Rh 0.000 0.250 0.913 (multiplicity 4)
6 Rh 0.227 0.007 0.626 (multiplicity 16)

Summary:
- Formation energy: -0.269 eV per atom
- Uncorrected energy: -65.28 eV per formula unit
- Spin magnetization: 0.00 Bohr magnetons per cell



AcH6Pd4Au | GGA-PBE | optimized geometry

a b c (Å): 4.8641 4.8641 6.9708
angles (deg): 90.00 90.00 120.00
Space group P6/mmm (No. 191)
Symmetry-distinct sites (fractional):
1 Ac 0.0000 0.0000 0.0000 (multiplicity 1)
2 H 0.0000 0.5000 0.1617 (multiplicity 6)
3 Pd 0.3333 0.6667 0.3066 (multiplicity 4)
4 Au 0.0000 0.0000 0.5000 (multiplicity 1)

Summary:
- Uncorrected energy: -51.75 eV per formula unit
- Spin magnetization: 0.00 Bohr magnetons per cell



Ac2UNi3Rh12 | GGA-PBE | optimized geometry

a b c (Å): 7.9418 7.9418 19.5137
angles (deg): 90.00 90.00 120.00
Space group R-3m (No. 166, hexagonal axes)
Symmetry-distinct sites (fractional):
1 Ac 0.0000 0.0000 0.1127 (multiplicity 6)
2 U 0.0000 0.0000 0.5000 (multiplicity 3)
3 Ni 0.0000 0.5000 0.0000 (multiplicity 9)
4 Rh 0.0071 0.5035 0.8761 (multiplicity 18)
5 Rh 0.0139 0.5069 0.3693 (multiplicity 18)

Summary:
- Formation energy: 0.264 eV per atom
- Uncorrected energy: -120.31 eV per formula unit
- Spin magnetization: 0.01 Bohr magnetons per cell



Cs2Na3TlI6 | GGA-PBE | optimized geometry

a b c (Å): 21.953 4.918 10.146
angles (deg): 90.00 105.15 90.00
Space group C2/m (No. 12)
Symmetry-distinct sites (fractional):
1 Cs 0.166 0.000 0.329 (multiplicity 4)
2 Na 0.000 0.500 0.500 (multiplicity 2)
3 Na 0.164 0.000 0.835 (multiplicity 4)
4 Tl 0.000 0.500 0.000 (multiplicity 2)
5 I 0.010 0.000 0.744 (multiplicity 4)
6 I 0.154 0.500 0.609 (multiplicity 4)
7 I 0.171 0.500 0.051 (multiplicity 4)

Summary:
- E_form (uncorrected): -1.23 eV/atom
- Uncorrected energy: -32.05 eV per formula unit
- Spin magnetization: 0.00 Bohr magnetons per cell



Al2MoRu3 | GGA-PBE | optimized geometry

a b c (Å): 3.022 3.022 9.231
angles (deg): 90.00 90.00 90.00
Space group P4/mmm (No. 123)
Symmetry-distinct sites (fractional):
1 Al 0.000 0.000 0.157 (multiplicity 2)
2 Mo 0.000 0.000 0.500 (multiplicity 1)
3 Ru 0.500 0.500 0.000 (multiplicity 1)
4 Ru 0.500 0.500 0.328 (multiplicity 2)

Summary:
- Formation energy: -0.474 eV per atom
- Uncorrected energy: -48.99 eV per formula unit
- Spin magnetization: 0.00 Bohr magnetons per cell